## 1
A plane-wave DFT calculation with PBE was carried out for a geometry-optimized Li4SbAu2 structure.

Lattice parameters (Å, degrees): 5.082 5.082 7.527 70.27 70.27 90.00
Positions (direct):
Sb: 0.000 0.000 0.000
Au: 0.394 0.394 0.213
Au: 0.606 0.606 0.787
Li: 0.201 0.201 0.598
Li: 0.799 0.799 0.402
Li: 0.000 0.500 0.000
Li: 0.500 0.000 0.000

Properties
M_tot: 0.000 μB per formula unit


## 2
A plane-wave DFT calculation with PBE was carried out for a geometry-optimized Li4SbAu2 structure.

Lattice parameters (Å, degrees): 4.545 4.545 7.491 72.34 72.34 60.00
Positions (direct):
Li: 0.865 0.865 0.404
Li: 0.135 0.135 0.596
Li: 0.597 0.597 0.209
Li: 0.403 0.403 0.791
Sb: 0.000 0.000 0.000
Au: 0.740 0.740 0.780
Au: 0.260 0.260 0.220

Properties
M_tot: 0.000 μB per formula unit


Most stable structure, least stable structure: 2, 1.


## 1
A plane-wave DFT calculation with PBE was carried out for a geometry-optimized LiSbAu6 structure.

Lattice parameters (Å, degrees): 5.085 5.085 6.712 105.20 105.19 107.95
Positions (direct):
Li: 0.500 0.500 0.000
Sb: 0.000 0.000 0.000
Au: 0.625 0.125 0.250
Au: 0.875 0.375 0.750
Au: 0.258 0.258 0.517
Au: 0.125 0.625 0.250
Au: 0.375 0.875 0.750
Au: 0.742 0.742 0.483

Properties
M_tot: 0.000 μB per formula unit


## 2
A plane-wave DFT calculation with PBE was carried out for a geometry-optimized LiSbAu6 structure.

Lattice parameters (Å, degrees): 4.920 5.913 5.913 119.98 90.00 90.00
Positions (direct):
Li: 0.000 0.084 0.916
Sb: 0.500 0.416 0.584
Au: 0.000 0.078 0.414
Au: 0.000 0.586 0.922
Au: 0.000 0.586 0.414
Au: 0.500 0.410 0.080
Au: 0.500 0.920 0.590
Au: 0.500 0.920 0.080

Properties
M_tot: 0.000 μB per formula unit


Most stable structure, least stable structure: 1, 2.


## 1
A plane-wave DFT calculation with PBE was carried out for a geometry-optimized Li2SbAu4 structure.

Lattice parameters (Å, degrees): 7.883 5.805 6.515 115.86 90.00 90.00
Positions (direct):
Li: 0.000 0.743 0.483
Li: 0.000 0.257 0.517
Li: 0.500 0.757 0.517
Li: 0.500 0.243 0.483
Sb: 0.000 0.000 0.000
Sb: 0.500 0.500 0.000
Au: 0.752 0.621 0.739
Au: 0.752 0.379 0.261
Au: 0.748 0.879 0.261
Au: 0.748 0.121 0.739
Au: 0.252 0.879 0.261
Au: 0.252 0.121 0.739
Au: 0.248 0.621 0.739
Au: 0.248 0.379 0.261

Properties
M_tot: 0.000 μB per formula unit


## 2
A plane-wave DFT calculation with PBE was carried out for a geometry-optimized Li2SbAu4 structure.

Lattice parameters (Å, degrees): 5.230 5.230 7.786 109.62 109.62 90.00
Positions (direct):
Li: 0.610 0.610 0.220
Li: 0.390 0.390 0.780
Sb: 0.000 0.000 0.000
Au: 0.802 0.802 0.603
Au: 0.198 0.198 0.397
Au: 0.000 0.500 0.000
Au: 0.500 0.000 0.000

Properties
M_tot: 0.000 μB per formula unit


Most stable structure, least stable structure: 1, 2.


## 1
A plane-wave DFT calculation with PBE was carried out for a geometry-optimized LiSc2Au structure.

Lattice parameters (Å, degrees): 4.567 3.331 5.539 72.68 90.00 90.00
Positions (direct):
Au: 0.000 0.694 0.484
Li: 0.500 0.555 0.770
Sc: 0.000 0.975 0.927
Sc: 0.500 0.276 0.319

Properties
M_tot: 0.000 μB per formula unit


## 2
A plane-wave DFT calculation with PBE was carried out for a geometry-optimized LiSc2Au structure.

Lattice parameters (Å, degrees): 4.786 4.786 4.786 60.00 60.00 60.00
Positions (direct):
Sc: 0.250 0.250 0.250
Sc: 0.750 0.750 0.750
Au: 0.500 0.500 0.500
Li: 0.000 0.000 0.000

Properties
M_tot: 0.000 μB per formula unit


Most stable structure, least stable structure: 2, 1.


## 1
A plane-wave DFT calculation with PBE was carried out for a geometry-optimized LiSc2Au structure.

Lattice parameters (Å, degrees): 5.510 5.510 5.510 136.53 136.53 63.16
Positions (direct):
Au: 0.500 0.500 0.000
Li: 0.750 0.250 0.500
Sc: 0.000 0.000 0.000
Sc: 0.250 0.750 0.500

Properties
M_tot: 0.001 μB per formula unit


## 2
A plane-wave DFT calculation with PBE was carried out for a geometry-optimized LiSc2Au structure.

Lattice parameters (Å, degrees): 3.468 3.468 6.611 90.00 90.00 90.00
Each line ends with the local moment (μB).
Positions (direct):
Au: 0.000 0.000 0.521  0.00
Li: 0.500 0.500 0.717  0.00
Sc: 0.000 0.000 0.973  0.38
Sc: 0.500 0.500 0.289  0.29

Properties
M_tot: 1.119 μB per formula unit


Most stable structure, least stable structure: 2, 1.


## 1
A plane-wave DFT calculation with PBE was carried out for a geometry-optimized LiSc2Au structure.

Lattice parameters (Å, degrees): 4.710 4.710 3.512 90.00 90.00 90.09
Positions (direct):
Sc: 0.000 0.000 0.000
Sc: 0.500 0.500 0.000
Au: 0.500 0.000 0.500
Li: 0.000 0.500 0.500

Properties
M_tot: 0.001 μB per formula unit


## 2
A plane-wave DFT calculation with PBE was carried out for a geometry-optimized LiSc2Au structure.

Lattice parameters (Å, degrees): 5.458 5.458 4.807 71.37 71.37 36.22
Each line ends with the local moment (μB).
Positions (direct):
Au: 0.509 0.509 0.512  0.01
Li: 0.224 0.224 0.256  0.01
Sc: 0.996 0.996 0.028  0.09
Sc: 0.771 0.771 0.704  0.12

Properties
M_tot: 0.354 μB per formula unit


## 3
A plane-wave DFT calculation with PBE was carried out for a geometry-optimized LiSc2Au structure.

Lattice parameters (Å, degrees): 10.378 10.378 10.378 18.46 18.46 18.46
Positions (direct):
Sc: 0.901 0.901 0.901
Sc: 0.099 0.099 0.099
Au: 0.500 0.500 0.500
Li: 0.000 0.000 0.000

Properties
M_tot: 0.000 μB per formula unit


Most stable structure, least stable structure: 1, 3.


## 1
A plane-wave DFT calculation with PBE was carried out for a geometry-optimized LiSc2Au structure.

Lattice parameters (Å, degrees): 7.708 7.708 6.180 51.42 51.42 90.00
Positions (direct):
Sc: 0.649 0.125 0.250
Sc: 0.101 0.625 0.250
Sc: 0.375 0.351 0.750
Sc: 0.875 0.899 0.750
Au: 0.000 0.000 0.000
Au: 0.750 0.250 0.500
Li: 0.500 0.500 0.000
Li: 0.250 0.750 0.500

Properties
M_tot: 0.002 μB per formula unit


## 2
A plane-wave DFT calculation with PBE was carried out for a geometry-optimized LiSc2Au structure.

Lattice parameters (Å, degrees): 9.508 9.508 9.508 20.44 20.44 20.44
Each line ends with the local moment (μB).
Positions (direct):
Au: 0.250 0.250 0.250  0.01
Li: 0.750 0.750 0.750  0.01
Sc: 0.991 0.991 0.991  0.09
Sc: 0.509 0.509 0.509  0.09

Properties
M_tot: 0.401 μB per formula unit


Most stable structure, least stable structure: 2, 1.


## 1
A plane-wave DFT calculation with PBE was carried out for a geometry-optimized Li2Sc2Au structure.

Lattice parameters (Å, degrees): 6.420 6.420 4.586 90.00 90.00 90.00
Each line ends with the local moment (μB).
Positions (direct):
Sc: 0.185 0.685 0.500  0.38
Sc: 0.685 0.815 0.500  0.37
Sc: 0.815 0.315 0.500  0.38
Sc: 0.315 0.185 0.500  0.37
Au: 0.000 0.000 0.000  0.02
Au: 0.500 0.500 0.000  0.02
Li: 0.370 0.870 0.000  0.03
Li: 0.870 0.630 0.000  0.03
Li: 0.630 0.130 0.000  0.03
Li: 0.130 0.370 0.000  0.03

Properties
M_tot: 1.432 μB per formula unit


## 2
A plane-wave DFT calculation with PBE was carried out for a geometry-optimized Li2Sc2Au structure.

Lattice parameters (Å, degrees): 3.413 3.413 9.178 79.28 79.28 90.00
Positions (direct):
Sc: 0.406 0.406 0.188
Sc: 0.594 0.594 0.812
Au: 0.000 0.000 0.000
Li: 0.750 0.250 0.500
Li: 0.250 0.750 0.500

Properties
M_tot: 0.000 μB per formula unit


Most stable structure, least stable structure: 1, 2.


## 1
A plane-wave DFT calculation with PBE was carried out for a geometry-optimized LiScTlAu structure.

Lattice parameters (Å, degrees): 3.423 3.423 6.772 90.00 90.00 90.00
Positions (direct):
Li: 0.500 0.500 0.124
Sc: 0.500 0.500 0.579
Tl: 0.000 0.000 0.878
Au: 0.000 0.000 0.347

Properties
M_tot: 0.000 μB per formula unit


## 2
A plane-wave DFT calculation with PBE was carried out for a geometry-optimized LiScTlAu structure.

Lattice parameters (Å, degrees): 4.801 4.801 4.801 60.00 60.00 60.00
Positions (direct):
Sc: 0.750 0.750 0.750
Tl: 0.500 0.500 0.500
Au: 0.000 0.000 0.000
Li: 0.250 0.250 0.250

Properties
M_tot: 0.000 μB per formula unit


Most stable structure, least stable structure: 2, 1.


## 1
A plane-wave DFT calculation with PBE was carried out for a geometry-optimized Li3AuSe structure.

Lattice parameters (Å, degrees): 4.790 4.790 4.790 90.00 90.00 90.00
Positions (direct):
Au: 0.500 0.500 0.500
Se: 0.000 0.000 0.000
Li: 0.000 0.500 0.000
Li: 0.000 0.000 0.500
Li: 0.500 0.000 0.000

Properties
M_tot: 0.000 μB per formula unit


## 2
A plane-wave DFT calculation with PBE was carried out for a geometry-optimized Li3AuSe structure.

Lattice parameters (Å, degrees): 4.748 4.748 4.748 90.00 90.00 90.00
Positions (direct):
Au: 0.000 0.000 0.000
Se: 0.500 0.500 0.500
Li: 0.000 0.500 0.000
Li: 0.000 0.000 0.500
Li: 0.500 0.000 0.000

Properties
M_tot: 0.000 μB per formula unit


Most stable structure, least stable structure: 1, 2.


## 1
A plane-wave DFT calculation with PBE was carried out for a geometry-optimized LiAu2Se2 structure.

Lattice parameters (Å, degrees): 4.599 4.599 6.237 70.76 70.76 83.17
Positions (direct):
Li: 0.000 0.000 0.000
Au: 0.000 0.500 0.500
Au: 0.500 0.000 0.500
Se: 0.722 0.722 0.822
Se: 0.278 0.278 0.178

Properties
M_tot: 0.000 μB per formula unit


## 2
A plane-wave DFT calculation with PBE was carried out for a geometry-optimized LiAu2Se2 structure.

Lattice parameters (Å, degrees): 4.018 4.018 7.278 73.98 73.98 90.00
Positions (direct):
Au: 0.750 0.250 0.500
Au: 0.250 0.750 0.500
Se: 0.397 0.397 0.206
Se: 0.603 0.603 0.794
Li: 0.000 0.000 0.000

Properties
M_tot: 0.000 μB per formula unit


Most stable structure, least stable structure: 1, 2.


## 1
A plane-wave DFT calculation with PBE was carried out for a geometry-optimized Li2Au2Se structure.

Lattice parameters (Å, degrees): 6.372 6.372 4.230 90.00 90.00 90.00
Positions (direct):
Au: 0.150 0.650 0.500
Au: 0.650 0.850 0.500
Au: 0.850 0.350 0.500
Au: 0.350 0.150 0.500
Se: 0.000 0.000 0.000
Se: 0.500 0.500 0.000
Li: 0.356 0.856 0.000
Li: 0.856 0.644 0.000
Li: 0.644 0.144 0.000
Li: 0.144 0.356 0.000

Properties
M_tot: 0.000 μB per formula unit


## 2
A plane-wave DFT calculation with PBE was carried out for a geometry-optimized Li2Au2Se structure.

Lattice parameters (Å, degrees): 3.750 3.750 7.541 75.60 75.60 90.00
Positions (direct):
Au: 0.750 0.250 0.500
Au: 0.250 0.750 0.500
Se: 0.000 0.000 0.000
Li: 0.406 0.406 0.187
Li: 0.594 0.594 0.813

Properties
M_tot: 0.000 μB per formula unit


Most stable structure, least stable structure: 2, 1.